4
Lattice="0.000 3.483 3.483 3.483 0.000 3.483 3.483 3.483 0.000" Properties=species:S:1:pos:R:3 comment="Cu2SnI, relaxed, DFT PBE" polymorph_energy_ev_per_atom=0.3664 e_form_raw_ev_per_atom=0.6077 pbc="T T T"
Cu 1.742 1.742 1.742
Cu 5.225 5.225 5.225
Sn 0.000 0.000 0.000
I 3.483 3.483 3.483

---

5
Lattice="4.950 0.000 0.000 0.000 4.950 0.000 0.000 0.000 4.950" Properties=species:S:1:pos:R:3 comment="ZrNb3H, relaxed, DFT PBE" polymorph_energy_ev_per_atom=2.2510 pbc="T T T"
Zr 0.000 0.000 0.000
Nb 0.000 0.000 2.475
Nb 0.000 2.475 0.000
Nb 2.475 0.000 0.000
H 2.475 2.475 2.475

---

5
Lattice="4.905 0.000 0.000 0.000 4.905 0.000 0.000 0.000 4.905" Properties=species:S:1:pos:R:3 comment="Nb3ZnPt, relaxed, DFT PBE" formation_enthalpy_0k_kj_per_mol_fu=521 polymorph_energy_ev_per_atom=0.0000 pbc="T T T"
Nb 0.000 0.000 2.452
Nb 0.000 2.452 0.000
Nb 2.452 0.000 0.000
Zn 2.452 2.452 2.452
Pt 0.000 0.000 0.000